1.
The following is a DFT calculation (PBE) of a relaxed LaCeSnN crystal.

a b c (Å): 4.7674 4.7674 9.1270
angles (deg): 90.00 90.00 90.00
Last column: nearest neighbours and their distance in Å.
Space group P4/nmm (No. 129, origin choice 2)
One atom of each set of equivalent atoms:
La 0.2500 0.7500 0.0000 x2  4 N 2.56
Ce 0.2500 0.2500 0.3319 x2  1 N 2.11
Sn 0.2500 0.2500 0.6956 x2  5 Ce 3.32-3.38, 4 La 3.66, 1 N 3.70
N 0.2500 0.2500 0.1009 x2  1 Ce 2.11

Calculated values
Total magnetization (μB per formula unit): 0.11
Total DFT energy (no corrections) (eV per atom): -6.8355
Energy relative to the elements, uncorrected (eV per atom): -1.038

2.
The following is a DFT calculation (PBE) of a relaxed Ge5Te4As crystal.

a b c (Å): 4.1392 4.1392 30.1331
angles (deg): 90.00 90.00 90.00
Last column: nearest neighbours and their distance in Å.
Space group I4/mmm (No. 139)
One atom of each set of equivalent atoms:
Ge 0.0000 0.0000 0.0000 x2  4 As 2.93, 2 Te 2.99
Ge 0.0000 0.0000 0.2053 x4  6 Te 2.88-3.20
Ge 0.0000 0.0000 0.4139 x4  1 As 2.60
Te 0.0000 0.0000 0.0991 x4  6 Ge 2.95-3.20
Te 0.0000 0.0000 0.3007 x4  5 Ge 2.88-2.93
As 0.0000 0.0000 0.5000 x2  2 Ge 2.60

Calculated values
Total magnetization (μB per formula unit): 0.00
Total DFT energy (no corrections) (eV per atom): -4.0369
Energy relative to the elements, uncorrected (eV per atom): -0.007

3.
The following is a DFT calculation (PBE) of a relaxed Ti2AlH4 crystal.

a b c (Å): 5.1293 5.1293 9.5193
angles (deg): 90.00 90.00 90.00
Last column: nearest neighbours and their distance in Å.
Space group I4_1/amd (No. 141, origin choice 2)
One atom of each set of equivalent atoms:
Ti 0.0000 0.0000 0.0000 x8  6 H 1.92-1.94
Al 0.0000 0.2500 0.3750 x4  4 H 2.03
H 0.0000 0.0149 0.2038 x16  3 Ti 1.92-1.94, 1 Al 2.03

Calculated values
Total magnetization (μB per formula unit): 0.00
Total DFT energy (no corrections) (eV per atom): -4.8807

4.
The following is a DFT calculation (PBE) of a relaxed CoNi2BOs crystal.

a b c (Å): 4.1468 4.1468 4.4080
angles (deg): 90.00 90.00 90.00
Last column: nearest neighbours and their distance in Å.
Space group P4/mmm (No. 123)
One atom of each set of equivalent atoms:
Co 0.0000 0.0000 0.0000 x1  4 Ni 2.07, 2 Os 2.20
Ni 0.0000 0.5000 0.0000 x2  2 Co 2.07
B 0.5000 0.5000 0.5000 x1  4 Os 2.93, 8 Ni 3.03
Os 0.0000 0.0000 0.5000 x1  2 Co 2.20

Calculated values
Total magnetization (μB per formula unit): 3.28
Total DFT energy (no corrections) (eV per atom): -5.2939

5.
The following is a DFT calculation (PBE) of a relaxed Cs4Tl2InSb2 crystal.

a b c (Å): 11.3614 11.2707 9.1541
angles (deg): 90.00 126.21 90.00
Last column: nearest neighbours and their distance in Å.
Space group C2/m (No. 12)
One atom of each set of equivalent atoms:
Cs 0.0161 0.2032 0.2533 x8  3 Sb 3.89-4.19, 1 In 4.10, 2 Tl 4.11-4.22
Tl 0.1669 0.5000 0.1260 x4  1 Tl 3.06, 1 Sb 3.16
In 0.0000 0.5000 0.5000 x2  2 Sb 2.70
Sb 0.2425 0.5000 0.8443 x4  1 In 2.70

Calculated values
Total magnetization (μB per formula unit): 0.80
Total DFT energy (no corrections) (eV per atom): -2.3058
Energy relative to the elements, uncorrected (eV per atom): -0.180

6.
The following is a DFT calculation (PBE) of a relaxed Pr12TmTl3 crystal.

a b c (Å): 5.0401 5.0401 20.5263
angles (deg): 90.00 90.00 90.00
Last column: nearest neighbours and their distance in Å.
Space group P4/mmm (No. 123)
One atom of each set of equivalent atoms:
Pr 0.0000 0.0000 0.0000 x1  4 Tl 3.56, 8 Pr 3.57
Pr 0.0000 0.0000 0.2468 x2  4 Tl 3.56, 8 Pr 3.57-3.58
Pr 0.0000 0.0000 0.5000 x1  4 Tm 3.56, 8 Pr 3.66
Pr 0.0000 0.5000 0.1234 x4  4 Tl 3.54-3.57, 8 Pr 3.56-3.57
Pr 0.0000 0.5000 0.3705 x4  8 Pr 3.56-3.66, 2 Tl 3.61, 2 Tm 3.66
Tm 0.5000 0.5000 0.5000 x1  12 Pr 3.56-3.66
Tl 0.5000 0.5000 0.0000 x1  12 Pr 3.56-3.57
Tl 0.5000 0.5000 0.2444 x2  12 Pr 3.54-3.61

Calculated values
Total magnetization (μB per formula unit): 0.00
Total DFT energy (no corrections) (eV per atom): -4.4567

7.
The following is a DFT calculation (PBE) of a relaxed EuSnF7 crystal.

a b c (Å): 6.1493 5.8723 8.3973
angles (deg): 90.00 102.69 90.00
Last column: nearest neighbours and their distance in Å.
Space group P2_1 (No. 4)
One atom of each set of equivalent atoms:
Eu 0.1586 0.0000 0.1903 x2  8 F 2.24-2.47
Sn 0.3124 0.0067 0.7245 x2  6 F 1.99-2.01
F 0.0354 0.7095 0.0154 x2  2 Eu 2.24-2.27
F 0.0700 0.7748 0.7056 x2  1 Sn 2.00
F 0.0970 0.2677 0.7051 x2  1 Sn 2.01
F 0.2727 0.0022 0.4829 x2  1 Sn 1.99
F 0.3634 0.0112 0.9677 x2  1 Sn 2.00
F 0.4442 0.7371 0.2645 x2  1 Sn 2.00
F 0.4500 0.2668 0.2570 x2  1 Sn 2.01

Calculated values
Total magnetization (μB per formula unit): 6.00
Excess energy over the best structure of this formula in the dataset (meV per atom): 3
Total DFT energy (no corrections) (eV per atom): -5.9836
Energy relative to the elements, uncorrected (eV per atom): -2.942

8.
The following is a DFT calculation (PBE) of a relaxed MnTlIn2I crystal.

a b c (Å): 5.8989 5.8989 5.3420
angles (deg): 90.00 90.00 90.00
Last column: nearest neighbours and their distance in Å.
Space group P4/mmm (No. 123)
One atom of each set of equivalent atoms:
Mn 0.0000 0.0000 0.0000 x1  2 Tl 2.67
Tl 0.0000 0.0000 0.5000 x1  2 Mn 2.67, 4 In 2.95
In 0.0000 0.5000 0.5000 x2  2 Tl 2.95
I 0.5000 0.5000 0.0000 x1  8 In 3.98, 4 Mn 4.17

Calculated values
Total magnetization (μB per formula unit): 4.56
Total DFT energy (no corrections) (eV per atom): -3.2571
Energy relative to the elements, uncorrected (eV per atom): 0.455

9.
The following is a DFT calculation (PBE) of a relaxed SnN2O2 crystal.

a b c (Å): 3.6640 3.6640 3.6331
angles (deg): 90.00 90.00 90.00
Last column: nearest neighbours and their distance in Å.
Space group P4/mmm (No. 123)
One atom of each set of equivalent atoms:
Sn 0.0000 0.0000 0.0000 x1  8 N 2.58, 4 O 2.59
N 0.0000 0.5000 0.5000 x2  2 O 1.83
O 0.5000 0.5000 0.0000 x1  2 O 1.82
O 0.5000 0.5000 0.5000 x1  2 O 1.82, 4 N 1.83

Calculated values
Total magnetization (μB per formula unit): 0.00
Excess energy over the best structure of this formula in the dataset (meV per atom): 2519
Total DFT energy (no corrections) (eV per atom): -4.4621
Energy relative to the elements, uncorrected (eV per atom): 1.652

10.
The following is a DFT calculation (PBE) of a relaxed ZrVB3 crystal.

a b c (Å): 3.9081 3.9081 3.9081
angles (deg): 90.00 90.00 90.00
Last column: nearest neighbours and their distance in Å.
Space group Pm-3m (No. 221)
One atom of each set of equivalent atoms:
Zr 0.0000 0.0000 0.0000 x1  12 B 2.76
V 0.5000 0.5000 0.5000 x1  6 B 1.95
B 0.0000 0.5000 0.5000 x3  2 V 1.95

Calculated values
Total magnetization (μB per formula unit): 0.00
Excess energy over the best structure of this formula in the dataset (meV per atom): 1165
Total DFT energy (no corrections) (eV per atom): -7.1996